No. 1
Here is a crystal of Na7Mn16O32 relaxed with PBEsol from Alexandria. Energies are from meta-GGA SCAN.

Output
Energy relative to the elements, uncorrected in meV per atom: -2084
Uncorrected energy in eV per cell: -635.592

Unit cell a=10.186 b=10.186 c=10.186 alpha=131.82 beta=131.82 gamma=70.52
Element x y z (fractional)
Na  0.000  0.000  0.000
Na  0.129  0.624  0.000
Na  0.250  0.750  0.500
Na  0.376  0.376  0.505
Na  0.624  0.129  0.000
Na  0.750  0.250  0.500
Na  0.871  0.871  0.495
Mn  0.062  0.311  0.000
Mn  0.067  0.315  0.506
Mn  0.190  0.190  0.752
Mn  0.191  0.685  0.752
Mn  0.311  0.062  0.000
Mn  0.315  0.067  0.506
Mn  0.438  0.438  0.248
Mn  0.439  0.933  0.248
Mn  0.561  0.809  0.494
Mn  0.562  0.810  0.000
Mn  0.685  0.191  0.752
Mn  0.689  0.689  0.750
Mn  0.809  0.561  0.494
Mn  0.810  0.562  0.000
Mn  0.933  0.439  0.248
Mn  0.938  0.938  0.250
O  0.030  0.533  0.210
O  0.051  0.553  0.709
O  0.076  0.076  0.294
O  0.091  0.091  0.789
O  0.156  0.447  0.498
O  0.179  0.970  0.502
O  0.196  0.407  0.000
O  0.218  0.924  0.000
O  0.289  0.289  0.720
O  0.302  0.302  0.211
O  0.323  0.821  0.790
O  0.342  0.844  0.291
O  0.407  0.196  0.000
O  0.431  0.711  0.000
O  0.447  0.156  0.498
O  0.467  0.677  0.498
O  0.533  0.030  0.210
O  0.553  0.051  0.709
O  0.569  0.569  0.280
O  0.593  0.593  0.789
O  0.658  0.949  0.502
O  0.677  0.467  0.498
O  0.698  0.909  0.000
O  0.711  0.431  0.000
O  0.782  0.782  0.706
O  0.804  0.804  0.211
O  0.821  0.323  0.790
O  0.844  0.342  0.291
O  0.909  0.698  0.000
O  0.924  0.218  0.000
O  0.949  0.658  0.502
O  0.970  0.179  0.502

***

No. 2
Here is a crystal of La2RuBr relaxed with PBEsol from Alexandria. Energies are from meta-GGA SCAN.

Output
Energy relative to the elements, uncorrected in meV per atom: -609
Energy above the most stable polymorph in this dataset in meV/atom: 441
Uncorrected energy in eV per cell: -142.932

Unit cell a=3.481 b=4.953 c=5.462 alpha=90.00 beta=90.00 gamma=90.00
Element x y z (fractional)
La  0.000  0.000  0.000
La  0.000  0.500  0.500
Ru  0.500  0.000  0.500
Br  0.500  0.500  0.000

***

No. 3
Here is a crystal of CoRh relaxed with PBEsol from Alexandria. Energies are from meta-GGA SCAN.

Output
Uncorrected energy in eV per cell: -152.863
Formation energy from the elements in meV per atom: 61

Unit cell a=2.599 b=3.603 c=7.720 alpha=90.00 beta=90.00 gamma=90.00
Element x y z (fractional)
Co  0.000  0.000  0.000
Co  0.500  0.500  0.152
Co  0.500  0.500  0.848
Rh  0.000  0.000  0.319
Rh  0.000  0.000  0.681
Rh  0.500  0.500  0.500

***

No. 4
Here is a crystal of BaPF3 relaxed with PBEsol from Alexandria. Energies are from meta-GGA SCAN.

Output
Energy relative to the elements, uncorrected in meV per atom: -1706
Uncorrected energy in eV per cell: -69.101

Unit cell a=5.005 b=5.005 c=5.005 alpha=90.00 beta=90.00 gamma=90.00
Element x y z (fractional)
Ba  0.000  0.000  0.000
P  0.500  0.500  0.500
F  0.000  0.000  0.500
F  0.000  0.500  0.000
F  0.500  0.000  0.000

***

No. 5
Here is a crystal of TaIrAu relaxed with PBEsol from Alexandria. Energies are from meta-GGA SCAN.

Output
Energy above the most stable polymorph in this dataset in meV/atom: 451
Uncorrected energy in eV per cell: -206.817
Formation energy from the elements in meV per atom: 7

Unit cell a=4.317 b=4.317 c=4.317 alpha=60.00 beta=60.00 gamma=60.00
Element x y z (fractional)
Ta  0.000  0.000  0.000
Ir  0.250  0.250  0.250
Au  0.500  0.500  0.500

***

No. 6
Here is a crystal of NaV6O13 relaxed with PBEsol from Alexandria. Energies are from meta-GGA SCAN.

Output
Energy relative to the elements, uncorrected in meV per atom: -2597
Uncorrected energy in eV per cell: -484.182

Unit cell a=10.802 b=10.802 c=11.757 alpha=111.93 beta=111.93 gamma=19.90
Element x y z (fractional)
Na  0.164  0.164  0.191
Na  0.836  0.836  0.809
V  0.066  0.066  0.477
V  0.067  0.067  0.779
V  0.246  0.246  0.595
V  0.249  0.249  0.902
V  0.434  0.434  0.026
V  0.434  0.434  0.719
V  0.566  0.566  0.281
V  0.566  0.566  0.974
V  0.751  0.751  0.098
V  0.754  0.754  0.405
V  0.933  0.933  0.221
V  0.934  0.934  0.523
O  0.045  0.045  0.611
O  0.048  0.048  0.293
O  0.057  0.057  0.939
O  0.151  0.151  0.832
O  0.152  0.152  0.534
O  0.249  0.249  0.426
O  0.250  0.250  0.074
O  0.250  0.250  0.749
O  0.348  0.348  0.961
O  0.349  0.349  0.674
O  0.444  0.444  0.563
O  0.453  0.453  0.207
O  0.454  0.454  0.890
O  0.546  0.546  0.110
O  0.547  0.547  0.793
O  0.556  0.556  0.437
O  0.651  0.651  0.326
O  0.652  0.652  0.039
O  0.750  0.750  0.251
O  0.750  0.750  0.926
O  0.751  0.751  0.574
O  0.848  0.848  0.466
O  0.849  0.849  0.168
O  0.943  0.943  0.061
O  0.952  0.952  0.707
O  0.955  0.955  0.389

***

No. 7
Here is a crystal of Tc2SnHI relaxed with PBEsol from Alexandria. Energies are from meta-GGA SCAN.

Output
Uncorrected energy in eV per cell: -138.939

Unit cell a=5.018 b=5.018 c=3.466 alpha=90.00 beta=90.00 gamma=90.00
Element x y z (fractional)
Tc  0.000  0.500  0.000
Tc  0.500  0.000  0.000
Sn  0.000  0.000  0.000
H  0.000  0.000  0.500
I  0.500  0.500  0.500

***

No. 8
Here is a crystal of TaBe2TcSe relaxed with PBEsol from Alexandria. Energies are from meta-GGA SCAN.

Output
Energy relative to the elements, uncorrected in meV per atom: 1462
Uncorrected energy in eV per cell: -123.117

Unit cell a=4.354 b=4.354 c=4.716 alpha=90.00 beta=90.00 gamma=90.00
Element x y z (fractional)
Ta  0.000  0.000  0.000
Be  0.000  0.500  0.000
Be  0.500  0.000  0.000
Tc  0.500  0.500  0.500
Se  0.000  0.000  0.500

***

No. 9
Here is a crystal of YCo3H relaxed with PBEsol from Alexandria. Energies are from meta-GGA SCAN.

Output
Uncorrected energy in eV per cell: -82.269

Unit cell a=3.810 b=3.810 c=3.810 alpha=90.00 beta=90.00 gamma=90.00
Element x y z (fractional)
Y  0.000  0.000  0.000
Co  0.000  0.500  0.500
Co  0.500  0.000  0.500
Co  0.500  0.500  0.000
H  0.500  0.500  0.500

***

No. 10
Here is a crystal of TaCu2Rh relaxed with PBEsol from Alexandria. Energies are from meta-GGA SCAN.

Output
Uncorrected energy in eV per cell: -130.814
Formation energy from the elements in meV per atom: -15

Unit cell a=4.642 b=4.642 c=2.767 alpha=90.00 beta=90.00 gamma=114.48
Element x y z (fractional)
Ta  0.000  0.000  0.000
Cu  0.000  0.500  0.500
Cu  0.500  0.000  0.500
Rh  0.500  0.500  0.000

***

No. 11
Here is a crystal of Re2MoCl relaxed with PBEsol from Alexandria. Energies are from meta-GGA SCAN.

Output
Energy relative to the elements, uncorrected in meV per atom: 1209
Energy above the most stable polymorph in this dataset in meV/atom: 643
Uncorrected energy in eV per cell: -180.221

Unit cell a=4.486 b=4.486 c=2.914 alpha=90.00 beta=90.00 gamma=90.00
Element x y z (fractional)
Re  0.000  0.500  0.000
Re  0.500  0.000  0.000
Mo  0.000  0.000  0.500
Cl  0.500  0.500  0.500

***

No. 12
Here is a crystal of ReBiPCl2 relaxed with PBEsol from Alexandria. Energies are from meta-GGA SCAN.

Output
Energy relative to the elements, uncorrected in meV per atom: 1321
Energy above the most stable polymorph in this dataset in meV/atom: 864
Uncorrected energy in eV per cell: -169.428

Unit cell a=5.146 b=5.146 c=5.603 alpha=90.00 beta=90.00 gamma=90.00
Element x y z (fractional)
Re  0.000  0.000  0.000
Bi  0.500  0.500  0.500
P  0.500  0.500  0.000
Cl  0.000  0.500  0.500
Cl  0.500  0.000  0.500

***

No. 13
Here is a crystal of ScOsRu2 relaxed with PBEsol from Alexandria. Energies are from meta-GGA SCAN.

Output
Energy above the most stable polymorph in this dataset in meV/atom: 0
Uncorrected energy in eV per cell: -155.924
Formation energy from the elements in meV per atom: -39

Unit cell a=2.970 b=4.403 c=4.484 alpha=90.00 beta=90.00 gamma=90.00
Element x y z (fractional)
Sc  0.000  0.000  0.000
Os  0.500  0.000  0.500
Ru  0.000  0.500  0.500
Ru  0.500  0.500  0.000

***

No. 14
Here is a crystal of Ag2Hg relaxed with PBEsol from Alexandria. Energies are from meta-GGA SCAN.

Output
Energy above the most stable polymorph in this dataset in meV/atom: 5
Uncorrected energy in eV per cell: -261.580
Formation energy from the elements in meV per atom: 37

Unit cell a=7.625 b=7.625 c=4.750 alpha=90.00 beta=90.00 gamma=157.17
Element x y z (fractional)
Ag  0.059  0.941  0.750
Ag  0.276  0.724  0.250
Ag  0.724  0.276  0.750
Ag  0.941  0.059  0.250
Hg  0.390  0.610  0.750
Hg  0.610  0.390  0.250

***

No. 15
Here is a crystal of Mg2PBrCl relaxed with PBEsol from Alexandria. Energies are from meta-GGA SCAN.

Output
Energy relative to the elements, uncorrected in meV per atom: -546
Uncorrected energy in eV per cell: -50.516

Unit cell a=4.964 b=4.964 c=4.872 alpha=90.00 beta=90.00 gamma=90.00
Element x y z (fractional)
Mg  0.000  0.500  0.000
Mg  0.500  0.000  0.000
P  0.000  0.000  0.000
Br  0.500  0.500  0.500
Cl  0.000  0.000  0.500

***

No. 16
Here is a crystal of ScIn2Ir relaxed with PBEsol from Alexandria. Energies are from meta-GGA SCAN.

Output
Uncorrected energy in eV per cell: -153.908
Formation energy from the elements in meV per atom: -450

Unit cell a=3.125 b=3.125 c=8.036 alpha=90.00 beta=90.00 gamma=90.00
Element x y z (fractional)
Sc  0.000  0.000  0.000
In  0.000  0.000  0.581
In  0.500  0.500  0.285
Ir  0.500  0.500  0.805

***

No. 17
Here is a crystal of Fe3PW relaxed with PBEsol from Alexandria. Energies are from meta-GGA SCAN.

Output
Uncorrected energy in eV per cell: -130.920
Formation energy from the elements in meV per atom: 711

Unit cell a=4.014 b=4.014 c=4.014 alpha=90.00 beta=90.00 gamma=90.00
Element x y z (fractional)
Fe  0.000  0.000  0.500
Fe  0.000  0.500  0.000
Fe  0.500  0.000  0.000
P  0.000  0.000  0.000
W  0.500  0.500  0.500

***

No. 18
Here is a crystal of RbSi3Sn relaxed with PBEsol from Alexandria. Energies are from meta-GGA SCAN.

Output
Energy relative to the elements, uncorrected in meV per atom: 2338
Uncorrected energy in eV per cell: -75.020

Unit cell a=5.329 b=5.329 c=5.329 alpha=90.00 beta=90.00 gamma=90.00
Element x y z (fractional)
Rb  0.000  0.000  0.000
Si  0.000  0.000  0.500
Si  0.000  0.500  0.000
Si  0.500  0.000  0.000
Sn  0.500  0.500  0.500

***

No. 19
Here is a crystal of LiCeP4O12 relaxed with PBEsol from Alexandria. Energies are from meta-GGA SCAN.

Output
Energy relative to the elements, uncorrected in meV per atom: -2718
Uncorrected energy in eV per cell: -424.510

Unit cell a=8.984 b=8.984 c=9.862 alpha=123.09 beta=123.09 gamma=46.42
Element x y z (fractional)
Li  0.201  0.799  0.750
Li  0.799  0.201  0.250
Ce  0.301  0.699  0.250
Ce  0.699  0.301  0.750
P  0.078  0.197  0.163
P  0.192  0.511  0.404
P  0.197  0.078  0.663
P  0.489  0.808  0.096
P  0.511  0.192  0.904
P  0.803  0.922  0.337
P  0.808  0.489  0.596
P  0.922  0.803  0.837
O  0.044  0.276  0.587
O  0.058  0.071  0.201
O  0.071  0.058  0.701
O  0.110  0.663  0.951
O  0.155  0.331  0.344
O  0.255  0.487  0.278
O  0.276  0.044  0.087
O  0.326  0.525  0.584
O  0.331  0.155  0.844
O  0.337  0.890  0.549
O  0.475  0.674  0.916
O  0.487  0.255  0.778
O  0.513  0.745  0.222
O  0.525  0.326  0.084
O  0.663  0.110  0.451
O  0.669  0.845  0.156
O  0.674  0.475  0.416
O  0.724  0.956  0.913
O  0.745  0.513  0.722
O  0.845  0.669  0.656
O  0.890  0.337  0.049
O  0.929  0.942  0.299
O  0.942  0.929  0.799
O  0.956  0.724  0.413

***

No. 20
Here is a crystal of BeReHg2 relaxed with PBEsol from Alexandria. Energies are from meta-GGA SCAN.

Output
Uncorrected energy in eV per cell: -207.881
Formation energy from the elements in meV per atom: 976

Unit cell a=5.081 b=5.081 c=5.081 alpha=134.80 beta=134.80 gamma=65.84
Element x y z (fractional)
Be  0.000  0.000  0.000
Re  0.250  0.750  0.500
Hg  0.500  0.500  0.000
Hg  0.750  0.250  0.500

***

No. 21
Here is a crystal of ZnTe2Au relaxed with PBEsol from Alexandria. Energies are from meta-GGA SCAN.

Output
Energy relative to the elements, uncorrected in meV per atom: -29
Uncorrected energy in eV per cell: -157.291

Unit cell a=8.459 b=8.459 c=8.459 alpha=27.03 beta=27.03 gamma=27.03
Element x y z (fractional)
Zn  0.000  0.000  0.000
Te  0.396  0.396  0.396
Te  0.604  0.604  0.604
Au  0.500  0.500  0.500

***

No. 22
Here is a crystal of ScTeO3 relaxed with PBEsol from Alexandria. Energies are from meta-GGA SCAN.

Output
Energy relative to the elements, uncorrected in meV per atom: -1645
Uncorrected energy in eV per cell: -78.409

Unit cell a=4.028 b=4.028 c=4.028 alpha=90.00 beta=90.00 gamma=90.00
Element x y z (fractional)
Sc  0.000  0.000  0.000
Te  0.500  0.500  0.500
O  0.000  0.000  0.500
O  0.000  0.500  0.000
O  0.500  0.000  0.000

***

No. 23
Here is a crystal of Tc2AgGeN relaxed with PBEsol from Alexandria. Energies are from meta-GGA SCAN.

Output
Energy relative to the elements, uncorrected in meV per atom: 1700
Uncorrected energy in eV per cell: -121.364

Unit cell a=4.688 b=4.688 c=3.617 alpha=90.00 beta=90.00 gamma=90.00
Element x y z (fractional)
Tc  0.000  0.500  0.000
Tc  0.500  0.000  0.000
Ag  0.000  0.000  0.500
Ge  0.500  0.500  0.000
N  0.500  0.500  0.500